First-principles (PBEsol) data for an optimized crystal structure of Sr2CaCu2Bi2IO8, as listed in Alexandria via LeMat-Bulk.

```
Sr2CaCu2Bi2IO8
1.0
-0.528 -4.602 2.155
4.345 -1.762 -2.699
10.937 5.354 14.110
O Cu Sr Bi I Ca
16 4 4 4 2 2
direct
0.000 0.031 0.276 O
0.000 0.969 0.724 O
0.500 0.083 0.819 O
0.750 0.250 0.417 O
0.250 0.250 0.586 O
0.250 0.750 0.414 O
0.250 0.250 0.417 O
0.750 0.750 0.583 O
0.000 0.417 0.819 O
0.750 0.250 0.586 O
0.500 0.531 0.724 O
0.500 0.469 0.276 O
0.750 0.750 0.414 O
0.000 0.583 0.181 O
0.250 0.750 0.583 O
0.500 0.917 0.181 O
0.000 0.000 0.585 Cu
0.000 0.000 0.415 Cu
0.500 0.500 0.585 Cu
0.500 0.500 0.415 Cu
0.000 0.495 0.316 Sr
0.500 0.995 0.684 Sr
0.500 0.005 0.316 Sr
0.000 0.505 0.684 Sr
0.000 0.972 0.166 Bi
0.000 0.028 0.834 Bi
0.500 0.472 0.834 Bi
0.500 0.528 0.166 Bi
0.000 0.500 0.000 I
0.500 0.000 0.000 I
0.000 0.500 0.500 Ca
0.500 0.000 0.500 Ca
```

Values from the calculation:
Calculated volume ... 16.10 Å³ per atom
Formation energy (no corrections) ... -1.6189 eV/atom
M_tot ... 0.001 μB per cell
Crystal system ... orthorhombic